1.
Below is CsMoO3 after structural relaxation, with properties calculated at the PBE+U level.

a = 3.8532 Å, b = 3.8532 Å, c = 6.2739 Å
α = 90.00°, β = 90.00°, γ = 90.00°
Site moments in Bohr magnetons follow the coordinates.
Positions (direct):
O1 0.0000 0.0000 0.8954  -0.05
O2 0.5000 0.0000 0.2724  0.11
O3 0.0000 0.5000 0.2724  0.01
Mo1 0.0000 0.0000 0.1760  0.91
Cs1 0.5000 0.5000 0.6474  0.00

Output
As for the final energy: -31.0 eV/cell. The space group is P4mm (99).


2.
Below is CsMoO3 after structural relaxation, with properties calculated at the PBE+U level.

a = 7.5688 Å, b = 7.5688 Å, c = 7.5688 Å
α = 55.63°, β = 55.63°, γ = 55.63°
Site moments in Bohr magnetons follow the coordinates.
Positions (direct):
Cs1 0.0000 0.0000 0.0000  0.00
Cs2 0.5000 0.5000 0.5000  0.00
O1 0.0027 0.4973 0.7500  -0.06
O2 0.9973 0.5027 0.2500  -0.06
O3 0.5027 0.2500 0.9973  -0.06
O4 0.2500 0.9973 0.5027  -0.06
O5 0.7500 0.0027 0.4973  -0.06
O6 0.4973 0.7500 0.0027  -0.06
Mo1 0.2500 0.2500 0.2500  0.94
Mo2 0.7500 0.7500 0.7500  0.94

Output
As for the final energy: -59.9 eV/cell. The space group is R-3c (167).